# 1
DFT (PBE) results for a geometry-optimized NaTl10Bi2 structure.

a b c (Å): 6.403 16.474 16.497
angles (deg): 90.00 90.00 90.00
Space group Fmmm (No. 69)
Asymmetric unit:
Na: 0.000 0.000 0.000 x4
Tl: 0.000 0.103 0.399 x16
Tl: 0.000 0.177 0.179 x16
Tl: 0.250 0.000 0.250 x8
Bi: 0.250 0.250 0.000 x8

Calculated values
**Theoretical density**: 9.5 g cm⁻³
**DOS at the Fermi energy**: 0.45 states/eV per atom
**Energy**: -130.13 eV for the cell shown
**Formation energy from the elements**: 0.016 eV per atom

=====

# 2
DFT (PBE) results for a geometry-optimized Na3Tl12Bi structure.

a b c (Å): 5.069 5.069 18.619
angles (deg): 90.00 90.00 90.00
Space group P4/mmm (No. 123)
Asymmetric unit:
Na: 0.000 0.000 0.000 x1
Na: 0.000 0.000 0.247 x2
Tl: 0.000 0.500 0.123 x4
Tl: 0.000 0.500 0.373 x4
Tl: 0.500 0.500 0.000 x1
Tl: 0.500 0.500 0.245 x2
Tl: 0.500 0.500 0.500 x1
Bi: 0.000 0.000 0.500 x1

Calculated values
**Theoretical density**: 9.5 g cm⁻³
**DOS at the Fermi energy**: 0.41 states/eV per atom
**Energy**: -37.29 eV for the cell shown
**Formation energy from the elements**: -0.066 eV per atom

=====

# 3
DFT (PBE) results for a geometry-optimized Na2Tl2Bi structure.

a b c (Å): 9.762 7.892 8.780
angles (deg): 90.00 113.00 90.00
Space group C2/c (No. 15)
Asymmetric unit:
Na: 0.235 0.086 0.348 x8
Tl: 0.068 0.214 0.956 x8
Bi: 0.000 0.412 0.250 x4

Calculated values
**Theoretical density**: 7.1 g cm⁻³
**DOS at the Fermi energy**: 0.50 states/eV per atom
**Energy**: -48.24 eV for the cell shown
**Offset from the most stable computed form**: 4.5 meV per atom
**Formation energy from the elements**: -0.162 eV per atom

=====

# 4
DFT (PBE) results for a geometry-optimized Na2TlBi structure.

a b c (Å): 3.666 3.666 8.600
angles (deg): 90.00 90.00 90.00
Space group P4/mmm (No. 123)
Asymmetric unit:
Na: 0.000 0.000 0.242 x2
Tl: 0.500 0.500 0.500 x1
Bi: 0.500 0.500 0.000 x1

Calculated values
**Theoretical density**: 6.6 g cm⁻³
**DOS at the Fermi energy**: 0.26 states/eV per atom
**Energy**: -9.71 eV for the cell shown
**Offset from the most stable computed form**: 82.2 meV per atom
**Formation energy from the elements**: -0.207 eV per atom

=====

# 5
DFT (PBE) results for a geometry-optimized Na3Tl2Bi4 structure.

a b c (Å): 11.118 4.979 10.616
angles (deg): 90.00 110.44 90.00
Space group C2/m (No. 12)
Asymmetric unit:
Na: 0.000 0.000 0.000 x2
Na: 0.168 0.500 0.569 x4
Tl: 0.156 0.500 0.225 x4
Bi: 0.002 0.000 0.351 x4
Bi: 0.176 0.500 0.898 x4

Calculated values
**Theoretical density**: 7.9 g cm⁻³
**DOS at the Fermi energy**: 0.50 states/eV per atom
**Energy**: -51.57 eV for the cell shown
**Formation energy from the elements**: -0.174 eV per atom

=====

# 6
DFT (PBE) results for a geometry-optimized NaTl2Bi structure.

a b c (Å): 7.897 7.897 7.897
angles (deg): 90.00 90.00 90.00
Space group Fm-3m (No. 225)
Asymmetric unit:
Na: 0.000 0.000 0.000 x4
Tl: 0.250 0.250 0.250 x8
Bi: 0.000 0.000 0.500 x4

Calculated values
**Theoretical density**: 8.6 g cm⁻³
**DOS at the Fermi energy**: 0.00 states/eV per atom
**Energy**: -42.50 eV for the cell shown
**Offset from the most stable computed form**: 0.0 meV per atom
**Formation energy from the elements**: -0.173 eV per atom

=====

# 7
DFT (PBE) results for a geometry-optimized Na3Tl2Bi2 structure.

a b c (Å): 5.538 12.105 8.745
angles (deg): 90.00 129.03 90.00
Space group P2_1/c (No. 14)
Asymmetric unit:
Na: 0.000 0.000 0.000 x2
Na: 0.244 0.089 0.471 x4
Tl: 0.461 0.689 0.264 x4
Bi: 0.015 0.160 0.725 x4

Calculated values
**Theoretical density**: 6.5 g cm⁻³
**DOS at the Fermi energy**: 0.40 states/eV per atom
**Energy**: -35.08 eV for the cell shown
**Offset from the most stable computed form**: 57.9 meV per atom
**Formation energy from the elements**: -0.155 eV per atom

=====

# 8
DFT (PBE) results for a geometry-optimized Na2Tl5Bi2 structure.

a b c (Å): 6.041 6.047 8.056
angles (deg): 73.84 83.11 76.96
Space group P-1 (No. 2)
Asymmetric unit:
Na: 0.116 0.048 0.269 x2
Tl: 0.000 0.500 0.500 x1
Tl: 0.329 0.162 0.832 x2
Tl: 0.442 0.723 0.612 x2
Bi: 0.221 0.593 0.050 x2

Calculated values
**Theoretical density**: 9.0 g cm⁻³
**DOS at the Fermi energy**: 0.50 states/eV per atom
**Energy**: -23.14 eV for the cell shown
**Formation energy from the elements**: -0.101 eV per atom

=====

# 9
DFT (PBE) results for a geometry-optimized Na2Tl2Bi structure.

a b c (Å): 8.912 8.912 3.654
angles (deg): 90.00 90.00 90.00
Space group P4/mbm (No. 127)
Asymmetric unit:
Na: 0.173 0.327 0.000 x4
Tl: 0.127 0.627 0.500 x4
Bi: 0.000 0.000 0.500 x2

Calculated values
**Theoretical density**: 7.6 g cm⁻³
**DOS at the Fermi energy**: 0.59 states/eV per atom
**Energy**: -23.42 eV for the cell shown
**Offset from the most stable computed form**: 74.3 meV per atom
**Formation energy from the elements**: -0.092 eV per atom

=====

# 10
DFT (PBE) results for a geometry-optimized NaTl2Bi3 structure.

a b c (Å): 6.087 6.093 11.032
angles (deg): 98.99 99.19 106.98
Space group P-1 (No. 2)
Asymmetric unit:
Na: 0.125 0.376 0.250 x2
Tl: 0.213 0.958 0.416 x2
Tl: 0.458 0.715 0.915 x2
Bi: 0.023 0.788 0.073 x2
Bi: 0.293 0.526 0.573 x2
Bi: 0.359 0.140 0.751 x2

Calculated values
**Theoretical density**: 9.3 g cm⁻³
**DOS at the Fermi energy**: 0.40 states/eV per atom
**Energy**: -36.31 eV for the cell shown
**Offset from the most stable computed form**: 11.5 meV per atom
**Formation energy from the elements**: -0.077 eV per atom

=====

# 11
DFT (PBE) results for a geometry-optimized Na3Tl3Bi2 structure.

a b c (Å): 8.7508 8.7508 11.0648
angles (deg): 90.00 90.00 120.00
Space group R32 (No. 155, hexagonal axes)
Asymmetric unit:
Na: 0.0000 0.7442 0.0000 x9
Tl: 0.0000 0.2532 0.5000 x9
Bi: 0.0000 0.0000 0.2466 x6

Calculated values
**Theoretical density**: 7.5 g cm⁻³
**DOS at the Fermi energy**: 0.14 states/eV per atom
**Energy**: -61.29 eV for the cell shown
**Offset from the most stable computed form**: 0.0 meV per atom
**Formation energy from the elements**: -0.201 eV per atom

=====

# 12
DFT (PBE) results for a geometry-optimized Na4TlBi2 structure.

a b c (Å): 5.792 5.792 15.774
angles (deg): 90.00 90.00 90.00
Space group I4/mmm (No. 139)
Asymmetric unit:
Na: 0.000 0.000 0.197 x4
Na: 0.000 0.500 0.000 x4
Tl: 0.000 0.000 0.000 x2
Bi: 0.000 0.000 0.400 x4

Calculated values
**Theoretical density**: 4.5 g cm⁻³
**DOS at the Fermi energy**: 0.82 states/eV per atom
**Energy**: -30.07 eV for the cell shown
**Offset from the most stable computed form**: 151.6 meV per atom
**Formation energy from the elements**: 0.053 eV per atom

=====

# 13
DFT (PBE) results for a geometry-optimized Na5Tl4Bi structure.

a b c (Å): 5.3642 5.3642 36.9274
angles (deg): 90.00 90.00 120.00
Space group R3m (No. 160, hexagonal axes)
Asymmetric unit:
Na: 0.0000 0.0000 0.0000 x3
Na: 0.0000 0.0000 0.0993 x3
Na: 0.0000 0.0000 0.1981 x3
Na: 0.0000 0.0000 0.4900 x3
Na: 0.0000 0.0000 0.9006 x3
Tl: 0.0000 0.0000 0.2904 x3
Tl: 0.0000 0.0000 0.3810 x3
Tl: 0.0000 0.0000 0.7259 x3
Tl: 0.0000 0.0000 0.8104 x3
Bi: 0.0000 0.0000 0.5827 x3

Calculated values
**Theoretical density**: 6.2 g cm⁻³
**DOS at the Fermi energy**: 0.44 states/eV per atom
**Energy**: -63.44 eV for the cell shown
**Offset from the most stable computed form**: 15.9 meV per atom
**Formation energy from the elements**: -0.121 eV per atom

=====

# 14
DFT (PBE) results for a geometry-optimized NaTl3Bi structure.

a b c (Å): 5.581 5.581 5.581
angles (deg): 90.00 90.00 90.00
Space group Pm-3m (No. 221)
Asymmetric unit:
Na: 0.000 0.000 0.000 x1
Tl: 0.000 0.000 0.500 x3
Bi: 0.500 0.500 0.500 x1

Calculated values
**Theoretical density**: 8.1 g cm⁻³
**DOS at the Fermi energy**: 0.71 states/eV per atom
**Energy**: -10.73 eV for the cell shown
**Offset from the most stable computed form**: 417.1 meV per atom
**Formation energy from the elements**: 0.313 eV per atom

=====

# 15
DFT (PBE) results for a geometry-optimized Na2Tl5Bi structure.

a b c (Å): 7.254 13.940 4.719
angles (deg): 90.00 90.00 90.00
Space group Pbam (No. 55)
Asymmetric unit:
Na: 0.235 0.123 0.000 x4
Tl: 0.000 0.500 0.500 x2
Tl: 0.031 0.758 0.500 x4
Tl: 0.237 0.376 0.000 x4
Bi: 0.000 0.000 0.500 x2

Calculated values
**Theoretical density**: 8.9 g cm⁻³
**DOS at the Fermi energy**: 0.40 states/eV per atom
**Energy**: -38.46 eV for the cell shown
**Offset from the most stable computed form**: 0.0 meV per atom
**Formation energy from the elements**: -0.110 eV per atom

=====

# 16
DFT (PBE) results for a geometry-optimized NaTlBi structure.

a b c (Å): 11.107 5.577 7.149
angles (deg): 90.00 122.84 90.00
Space group C2/m (No. 12)
Asymmetric unit:
Na: 0.181 0.000 0.272 x4
Tl: 0.162 0.000 0.746 x4
Bi: 0.010 0.500 0.784 x4

Calculated values
**Theoretical density**: 7.8 g cm⁻³
**DOS at the Fermi energy**: 0.15 states/eV per atom
**Energy**: -32.66 eV for the cell shown
**Offset from the most stable computed form**: 0.0 meV per atom
**Formation energy from the elements**: -0.200 eV per atom

=====

# 17
DFT (PBE) results for a geometry-optimized Na4Tl2Bi structure.

a b c (Å): 5.858 9.232 9.269
angles (deg): 107.61 108.24 102.68
Space group P1 (No. 1)
Asymmetric unit:
Na: 0.000 0.000 0.000 x1
Na: 0.012 0.338 0.553 x1
Na: 0.369 0.009 0.796 x1
Na: 0.415 0.333 0.321 x1
Na: 0.451 0.662 0.858 x1
Na: 0.629 0.674 0.257 x1
Na: 0.765 0.011 0.593 x1
Na: 0.801 0.343 0.106 x1
Tl: 0.034 0.660 0.035 x1
Tl: 0.187 0.994 0.399 x1
Tl: 0.230 0.662 0.465 x1
Tl: 0.824 0.674 0.648 x1
Bi: 0.207 0.335 0.930 x1
Bi: 0.608 0.009 0.193 x1

Calculated values
**Theoretical density**: 5.5 g cm⁻³
**DOS at the Fermi energy**: 0.30 states/eV per atom
**Energy**: -30.32 eV for the cell shown
**Offset from the most stable computed form**: 0.0 meV per atom
**Formation energy from the elements**: -0.181 eV per atom

=====

# 18
DFT (PBE) results for a geometry-optimized Na2Tl2Bi structure.

a b c (Å): 4.532 4.532 14.853
angles (deg): 90.00 90.00 90.00
Space group I4/mmm (No. 139)
Asymmetric unit:
Na: 0.000 0.500 0.250 x4
Tl: 0.000 0.000 0.099 x4
Bi: 0.000 0.000 0.500 x2

Calculated values
**Theoretical density**: 7.2 g cm⁻³
**DOS at the Fermi energy**: 0.39 states/eV per atom
**Energy**: -22.48 eV for the cell shown
**Offset from the most stable computed form**: 168.2 meV per atom
**Formation energy from the elements**: 0.002 eV per atom

=====

# 19
DFT (PBE) results for a geometry-optimized Na4Tl5Bi2 structure.

a b c (Å): 8.632 3.423 11.277
angles (deg): 90.00 92.84 90.00
Space group P2/m (No. 10)
Asymmetric unit:
Na: 0.179 0.000 0.386 x2
Na: 0.282 0.000 0.939 x2
Tl: 0.181 0.500 0.644 x2
Tl: 0.444 0.500 0.207 x2
Tl: 0.500 0.500 0.500 x1
Bi: 0.061 0.500 0.137 x2

Calculated values
**Theoretical density**: 7.6 g cm⁻³
**DOS at the Fermi energy**: 0.47 states/eV per atom
**Energy**: -26.02 eV for the cell shown
**Formation energy from the elements**: -0.104 eV per atom

=====

# 20
DFT (PBE) results for a geometry-optimized Na4Tl2Bi structure.

a b c (Å): 5.599 21.307 3.666
angles (deg): 90.00 90.00 90.00
Space group Cmmm (No. 65)
Asymmetric unit:
Na: 0.000 0.077 0.000 x4
Na: 0.000 0.371 0.500 x4
Tl: 0.000 0.216 0.500 x4
Bi: 0.000 0.500 0.000 x2

Calculated values
**Theoretical density**: 5.4 g cm⁻³
**DOS at the Fermi energy**: 0.42 states/eV per atom
**Energy**: -29.72 eV for the cell shown
**Offset from the most stable computed form**: 42.4 meV per atom
**Formation energy from the elements**: -0.139 eV per atom

=====

# 21
DFT (PBE) results for a geometry-optimized Na7TlBi4 structure.

a b c (Å): 14.111 5.786 11.924
angles (deg): 90.00 126.06 90.00
Space group C2/m (No. 12)
Asymmetric unit:
Na: 0.000 0.000 0.000 x2
Na: 0.085 0.500 0.357 x4
Na: 0.152 0.000 0.577 x4
Na: 0.215 0.500 0.890 x4
Tl: 0.000 0.500 0.000 x2
Bi: 0.060 0.000 0.773 x4
Bi: 0.198 0.000 0.309 x4

Calculated values
**Theoretical density**: 5.1 g cm⁻³
**DOS at the Fermi energy**: 0.18 states/eV per atom
**Energy**: -59.29 eV for the cell shown
**Formation energy from the elements**: -0.210 eV per atom

=====

# 22
DFT (PBE) results for a geometry-optimized Na2Tl2Bi structure.

a b c (Å): 10.818 4.997 12.430
angles (deg): 90.00 105.62 90.00
Space group C2/m (No. 12)
Asymmetric unit:
Na: 0.007 0.000 0.354 x4
Na: 0.149 0.500 0.202 x4
Tl: 0.126 0.000 0.958 x4
Tl: 0.157 0.500 0.529 x4
Bi: 0.149 0.500 0.788 x4

Calculated values
**Theoretical density**: 6.8 g cm⁻³
**DOS at the Fermi energy**: 0.36 states/eV per atom
**Energy**: -48.33 eV for the cell shown
**Offset from the most stable computed form**: 0.0 meV per atom
**Formation energy from the elements**: -0.166 eV per atom

=====

# 23
DFT (PBE) results for a geometry-optimized Na2Tl5Bi5 structure.

a b c (Å): 14.796 5.093 11.041
angles (deg): 90.00 115.76 90.00
Space group C2/m (No. 12)
Asymmetric unit:
Na: 0.084 0.000 0.250 x4
Tl: 0.000 0.000 0.500 x2
Tl: 0.157 0.000 0.992 x4
Tl: 0.247 0.000 0.749 x4
Bi: 0.000 0.500 0.000 x2
Bi: 0.074 0.500 0.743 x4
Bi: 0.168 0.500 0.503 x4

Calculated values
**Theoretical density**: 9.4 g cm⁻³
**DOS at the Fermi energy**: 0.44 states/eV per atom
**Energy**: -70.02 eV for the cell shown
**Formation energy from the elements**: -0.095 eV per atom